A relaxed structure of ZrTa2Br, computed with PBE.

Properties
- Energy above the lowest structure with this stoichiometry: 0 meV per atom
- Formation energy from raw total energies: -0.2 eV per formula unit

Cell: 3.289 3.428 7.956 Å, 89.95 90.00 90.00°
Fractional positions:
Br 0.500 0.751 0.758
Ta 0.500 0.250 0.235
Zr 0.000 0.749 0.454
Ta 0.000 0.750 0.053